Tm6TlIr, relaxed, DFT GGA-PBE; energy = -4.901 eV/atom; DFT formation energy = -0.144 eV/atom; density = 9.694 Mg/m³
1.0
3.5034 -5.6164 0.0000
3.5034 5.6164 0.0000
-2.6212 0.0000 6.1386
Tm Tl Ir
6 1 1
Direct
0.0166 0.4039 0.2388 Tm
0.2313 0.2313 0.7729 Tm
0.4039 0.0166 0.2388 Tm
0.5961 0.9834 0.7612 Tm
0.7687 0.7687 0.2271 Tm
0.9834 0.5961 0.7612 Tm
0.5000 0.5000 0.5000 Tl
0.0000 0.0000 0.0000 Ir

TmTlIr4, relaxed, DFT GGA-PBE; energy = -7.276 eV/atom; DFT formation energy = -0.229 eV/atom; density = 17.710 Mg/m³
1.0
0.0000 3.7691 3.7691
3.7691 0.0000 3.7691
3.7691 3.7691 0.0000
Tm Tl Ir
1 1 4
Direct
0.0000 0.0000 0.0000 Tm
0.2500 0.2500 0.2500 Tl
0.1255 0.6248 0.6248 Ir
0.6248 0.1255 0.6248 Ir
0.6248 0.6248 0.1255 Ir
0.6248 0.6248 0.6248 Ir